# 1
The following is a DFT calculation (PBE-GGA) of an optimized crystal structure of Pr3AuO.

```
data_Pr3AuO
_cell_length_a 4.958
_cell_length_b 4.958
_cell_length_c 4.958
_cell_angle_alpha 90.00
_cell_angle_beta 90.00
_cell_angle_gamma 90.00
_symmetry_space_group_name_H-M 'P 1'
_symmetry_Int_Tables_number 1
_symmetry_space_group_name_Hall 'P 1'
loop_
_atom_site_label
_atom_site_fract_x
_atom_site_fract_y
_atom_site_fract_z
_atom_site_occupancy
Pr1 0.000 0.000 0.500 1
Pr2 0.000 0.500 0.000 1
Pr3 0.500 0.000 0.000 1
Au1 0.500 0.500 0.500 1
O1 0.000 0.000 0.000 1
```

Computed properties:
E_form (uncorrected) ... -1.328 eV per atom
Uncorrected energy ... -29.216 eV/cell



# 2
The following is a DFT calculation (PBE-GGA) of an optimized crystal structure of PrAuO.

```
data_PrAuO
_cell_length_a 4.046
_cell_length_b 4.046
_cell_length_c 7.514
_cell_angle_alpha 90.00
_cell_angle_beta 90.00
_cell_angle_gamma 90.00
_symmetry_space_group_name_H-M 'P 1'
_symmetry_Int_Tables_number 1
_symmetry_space_group_name_Hall 'P 1'
loop_
_atom_site_label
_atom_site_fract_x
_atom_site_fract_y
_atom_site_fract_z
_atom_site_occupancy
Pr1 0.250 0.250 0.161 1
Pr2 0.750 0.750 0.839 1
Au1 0.250 0.250 0.584 1
Au2 0.750 0.750 0.416 1
O1 0.250 0.750 0.000 1
O2 0.750 0.250 0.000 1
```

Computed properties:
E_form (uncorrected) ... -2.125 eV per atom
Uncorrected energy ... -38.777 eV/cell



# 3
The following is a DFT calculation (PBE-GGA) of an optimized crystal structure of PrAuO3.

```
data_PrAuO3
_cell_length_a 4.043
_cell_length_b 13.166
_cell_length_c 5.728
_cell_angle_alpha 90.00
_cell_angle_beta 90.00
_cell_angle_gamma 90.00
_symmetry_space_group_name_H-M 'P 1'
_symmetry_Int_Tables_number 1
_symmetry_space_group_name_Hall 'P 1'
loop_
_atom_site_label
_atom_site_fract_x
_atom_site_fract_y
_atom_site_fract_z
_atom_site_occupancy
Pr1 0.237 0.080 0.250 1
Pr2 0.237 0.420 0.750 1
Pr3 0.763 0.580 0.250 1
Pr4 0.763 0.920 0.750 1
Au1 0.428 0.670 0.750 1
Au2 0.428 0.830 0.250 1
Au3 0.572 0.170 0.750 1
Au4 0.572 0.330 0.250 1
O1 0.243 0.577 0.504 1
O2 0.243 0.577 0.996 1
O3 0.243 0.923 0.004 1
O4 0.243 0.923 0.496 1
O5 0.323 0.250 0.000 1
O6 0.323 0.250 0.500 1
O7 0.677 0.750 0.000 1
O8 0.677 0.750 0.500 1
O9 0.757 0.077 0.504 1
O10 0.757 0.077 0.996 1
O11 0.757 0.423 0.004 1
O12 0.757 0.423 0.496 1
```

Computed properties:
E_form (uncorrected) ... -1.810 eV per atom
Uncorrected energy ... -127.917 eV/cell



# 4
The following is a DFT calculation (PBE-GGA) of an optimized crystal structure of Pr5Au2O2.

```
data_Pr5Au2O2
_cell_length_a 10.639
_cell_length_b 10.639
_cell_length_c 10.639
_cell_angle_alpha 55.82
_cell_angle_beta 140.89
_cell_angle_gamma 141.80
_symmetry_space_group_name_H-M 'P 1'
_symmetry_Int_Tables_number 1
_symmetry_space_group_name_Hall 'P 1'
loop_
_atom_site_label
_atom_site_fract_x
_atom_site_fract_y
_atom_site_fract_z
_atom_site_occupancy
Pr1 0.019 0.895 0.624 1
Pr2 0.244 0.017 0.261 1
Pr3 0.244 0.483 0.727 1
Pr4 0.271 0.395 0.376 1
Pr5 0.661 0.086 0.292 1
Pr6 0.661 0.869 0.074 1
Pr7 0.756 0.517 0.273 1
Pr8 0.756 0.983 0.739 1
Pr9 0.794 0.369 0.708 1
Pr10 0.794 0.586 0.926 1
Au1 0.242 0.368 0.087 1
Au2 0.242 0.655 0.374 1
Au3 0.281 0.155 0.913 1
Au4 0.281 0.868 0.626 1
O1 0.732 0.556 0.677 1
O2 0.746 0.246 0.500 1
O3 0.746 0.746 0.000 1
O4 0.879 0.056 0.323 1
```

Computed properties:
E_form (uncorrected) ... -1.543 eV per atom
Uncorrected energy ... -108.503 eV/cell